1.
Compound: LaPr3Nd2Y6
Source: Alexandria via LeMat-Bulk
Functional: PBE
Structure: optimized geometry

DFT total energy   -67.5 eV/cell
Formation enthalpy at 0 K   0.007 eV per atom
Magnetization   0.0 μB per cell

abc: 6.326 6.326 11.929
angles: 95.06 95.06 120.00
Fractional coordinates of all 12 atoms:
Y  0.417  0.083  0.250
Y  0.583  0.917  0.750
Y  0.083  0.417  0.250
Y  0.749  0.749  0.250
Y  0.917  0.583  0.750
Y  0.251  0.251  0.750
Nd  0.333  0.667  0.000
Nd  0.667  0.333  0.000
Pr  0.167  0.833  0.500
Pr  0.833  0.167  0.500
Pr  0.500  0.500  0.500
La  0.000  0.000  0.000

***

2.
Compound: Pu2Pt3
Source: Alexandria via LeMat-Bulk
Functional: PBE
Structure: optimized geometry

DFT total energy   -101.4 eV/cell
Formation enthalpy at 0 K   -0.778 eV per atom
Magnetization   20.8 μB per cell

abc: 5.706 5.563 8.073
angles: 79.56 69.30 59.14
Last column: magnetic moment on the atom in μB.
Fractional coordinates of all 10 atoms:
Pt  0.741  0.500  0.500  -0.15
Pt  0.192  0.622  0.740  -0.11
Pt  0.554  0.378  0.260  -0.11
Pt  0.991  0.000  0.000  -0.15
Pt  0.682  0.122  0.760  -0.11
Pt  0.565  0.878  0.240  -0.11
Pu  0.609  0.643  0.901  5.10
Pu  0.153  0.357  0.099  5.10
Pu  0.002  0.857  0.401  5.10
Pu  0.260  0.143  0.599  5.10

***

Please write out number 1 again, unchanged.
Compound: LaPr3Nd2Y6
Source: Alexandria via LeMat-Bulk
Functional: PBE
Structure: optimized geometry

DFT total energy   -67.5 eV/cell
Formation enthalpy at 0 K   0.007 eV per atom
Magnetization   0.0 μB per cell

abc: 6.326 6.326 11.929
angles: 95.06 95.06 120.00
Fractional coordinates of all 12 atoms:
Y  0.417  0.083  0.250
Y  0.583  0.917  0.750
Y  0.083  0.417  0.250
Y  0.749  0.749  0.250
Y  0.917  0.583  0.750
Y  0.251  0.251  0.750
Nd  0.333  0.667  0.000
Nd  0.667  0.333  0.000
Pr  0.167  0.833  0.500
Pr  0.833  0.167  0.500
Pr  0.500  0.500  0.500
La  0.000  0.000  0.000

***

Which of these has the highest DFT total energy?
LaPr3Nd2Y6

***

Look up the DFT total energy of the second one.
-101.4 eV/cell